No. 1
This record from Alexandria via LeMat-Bulk describes an optimized crystal structure of MnCr2H. The functional is GGA-PBE.

Properties
SG ... P4/mmm (123)
Calculated density ... 7.182 g/cm³
Calculated volume ... 9.2 A^3/atom
Calculated total energy ... -7.599 eV per atom

abc: 2.561 2.561 5.638
angles: 90.00 90.00 90.00
Fractional coordinates of all 4 atoms:
1 Mn 0.500 0.500 0.500
2 Cr 0.000 0.000 0.801
3 H 0.500 0.500 0.000
4 Cr 0.000 0.000 0.199

***

No. 2
This record from Alexandria via LeMat-Bulk describes an optimized crystal structure of Rb2NaLiBr6. The functional is GGA-PBE.

Properties
SG ... Fm-3m (225)
Calculated density ... 3.372 g/cm³
Calculated volume ... 33.5 A^3/atom
Calculated total energy ... -2.667 eV per atom

abc: 7.793 7.793 7.797
angles: 60.01 60.01 90.00
Site moments in Bohr magnetons follow the coordinates.
Fractional coordinates of all 10 atoms:
1 Br 0.740 0.740 0.519  0.25
2 Br 0.260 0.740 0.000  0.25
3 Li 0.500 0.500 0.000  0.00
4 Br 0.260 0.260 0.481  0.25
5 Rb 0.750 0.250 0.500  0.00
6 Rb 0.250 0.750 0.500  0.00
7 Br 0.740 0.260 0.000  0.25
8 Br 0.740 0.740 0.000  0.25
9 Na 0.000 0.000 0.000  0.00
10 Br 0.260 0.260 0.000  0.25

***

No. 3
This record from Alexandria via LeMat-Bulk describes an optimized crystal structure of Sr2PuSn4Pt3. The functional is GGA-PBE.

Properties
Energy of formation ... -0.624 eV/atom
SG ... P-4m2 (115)
Calculated density ... 9.586 g/cm³
Calculated volume ... 25.6 A^3/atom

abc: 4.522 4.522 12.530
angles: 90.00 90.00 90.00
Site moments in Bohr magnetons follow the coordinates.
Fractional coordinates of all 10 atoms:
1 Sr 0.000 0.500 0.771  0.00
2 Pu 0.500 0.500 0.500  5.24
3 Pt 0.500 0.000 0.878  0.01
4 Sr 0.500 0.000 0.229  0.00
5 Pt 0.000 0.500 0.122  0.01
6 Sn 0.000 0.500 0.335  0.00
7 Sn 0.500 0.000 0.665  0.00
8 Sn 0.000 0.000 0.000  0.00
9 Pt 0.000 0.000 0.500  -0.07
10 Sn 0.500 0.500 0.000  0.00

***

No. 4
This record from Alexandria via LeMat-Bulk describes an optimized crystal structure of NaIn2SnHg. The functional is GGA-PBE.

Properties
Energy of formation ... -0.020 eV/atom
SG ... Cmcm (63)
Calculated density ... 5.949 g/cm³
Calculated volume ... 31.9 A^3/atom

abc: 4.376 8.984 8.374
angles: 90.00 90.00 104.10
Fractional coordinates of all 10 atoms:
1 Na 0.396 0.792 0.750
2 Na 0.604 0.208 0.250
3 Hg 0.000 0.000 0.500
4 In 0.165 0.330 0.541
5 In 0.835 0.670 0.041
6 Sn 0.729 0.457 0.750
7 In 0.165 0.330 0.959
8 In 0.835 0.670 0.459
9 Hg 0.000 0.000 0.000
10 Sn 0.271 0.543 0.250

***

No. 5
This record from Alexandria via LeMat-Bulk describes an optimized crystal structure of Tc5Mo. The functional is GGA-PBE.

Properties
Energy of formation ... 0.066 eV/atom
SG ... Cm (8)
Calculated density ... 10.959 g/cm³
Calculated volume ... 14.8 A^3/atom

abc: 2.767 5.245 6.555
angles: 75.89 90.00 105.29
Fractional coordinates of all 6 atoms:
1 Tc 0.056 0.111 0.392
2 Tc 0.330 0.661 0.337
3 Tc 0.669 0.337 0.661
4 Mo 0.001 0.002 0.000
5 Tc 0.727 0.453 0.058
6 Tc 0.385 0.769 0.718

***

No. 6
This record from Alexandria via LeMat-Bulk describes an optimized crystal structure of Pm2MnRh. The functional is GGA-PBE.

Properties
Energy of formation ... -0.195 eV/atom
SG ... P4/mmm (123)
Calculated density ... 8.105 g/cm³
Calculated volume ... 22.9 A^3/atom

abc: 3.599 3.599 7.082
angles: 90.00 90.00 90.00
Site moments in Bohr magnetons follow the coordinates.
Fractional coordinates of all 4 atoms:
1 Pm 0.000 0.000 0.764  -0.16
2 Pm 0.000 0.000 0.236  -0.16
3 Rh 0.500 0.500 0.000  0.01
4 Mn 0.500 0.500 0.500  3.55